# Hf2PtBr

An optimized crystal structure of Hf2PtBr (PBE, Alexandria).

Cell: 4.7801 4.7801 4.7801 Å, 60.00 60.00 60.00°
Sites, in units of the cell vectors:
Hf 0.7500 0.7500 0.7500
Pt 0.5000 0.5000 0.5000
Hf 0.2500 0.2500 0.2500
Br 0.0000 0.0000 0.0000

## Properties
- SG: Fm-3m, No. 225
- Crystal system: cubic
- E above lowest polymorph: 0.000 eV per atom
- Final energy: -7.297 eV/atom
- DOS at the Fermi energy: 2.68 states/eV/f.u.
- ΔE_f (raw): -0.392 eV/atom

# Rb2HfPtBr6

An optimized crystal structure of Rb2HfPtBr6 (PBE, Alexandria).

Cell: 7.5275 7.5275 8.0032 Å, 61.95 61.95 90.00°
Sites, in units of the cell vectors:
Br 0.7486 0.2514 0.0000
Pt 0.0000 0.0000 0.0000
Br 0.2785 0.2785 0.4430
Rb 0.2500 0.7500 0.5000
Rb 0.7500 0.2500 0.5000
Br 0.2514 0.2514 0.0000
Hf 0.5000 0.5000 0.0000
Br 0.7215 0.7215 0.5570
Br 0.7486 0.7486 0.0000
Br 0.2514 0.7486 0.0000

## Properties
- SG: I4/mmm, No. 139
- Crystal system: tetragonal
- Final energy: -3.884 eV/atom
- DOS at the Fermi energy: 0.00 states/eV/f.u.
- ΔE_f (raw): -1.087 eV/atom